The following is a PBE calculation of a relaxed Pa2SbSe6 crystal, from the Alexandria database.

a b c (Å): 9.258 9.258 8.383
angles (deg): 102.69 102.69 25.98
Fractional coordinates of all 9 atoms:
Pa1 0.164 0.164 0.328
Pa2 0.836 0.836 0.672
Sb1 0.500 0.500 0.000
Se1 0.008 0.008 0.244
Se2 0.327 0.327 0.435
Se3 0.336 0.336 0.900
Se4 0.664 0.664 0.100
Se5 0.673 0.673 0.565
Se6 0.992 0.992 0.756

Summary:
Density of states at the Fermi level = 7.376 states/eV/cell
Crystal system = monoclinic
E_form (uncorrected) = -23.76 kcal/mol of atoms

The following is a PBE calculation of a relaxed MgSc4Si crystal, from the Alexandria database.

a b c (Å): 5.785 5.785 5.785
angles (deg): 60.00 60.00 60.00
Fractional coordinates of all 6 atoms:
Mg1 0.000 0.000 0.000
Sc1 0.126 0.625 0.625
Sc2 0.625 0.126 0.625
Sc3 0.625 0.625 0.126
Sc4 0.625 0.625 0.625
Si1 0.250 0.250 0.250

Summary:
Density of states at the Fermi level = 7.301 states/eV/cell
Crystal system = cubic
E_form (uncorrected) = 7.18 kcal/mol of atoms

The following is a PBE calculation of a relaxed PrSm2HfAs4 crystal, from the Alexandria database.

a b c (Å): 7.150 4.128 7.163
angles (deg): 90.00 109.22 90.00
Fractional coordinates of all 8 atoms:
Pr1 0.000 0.000 0.000
Sm1 0.500 0.000 0.500
Sm2 0.500 0.500 0.000
Hf1 0.000 0.500 0.500
As1 0.234 0.000 0.730
As2 0.244 0.500 0.264
As3 0.756 0.500 0.736
As4 0.766 0.000 0.270

Summary:
Density of states at the Fermi level = 1.447 states/eV/cell
Formation energy = -1.36 eV per atom
Crystal system = monoclinic

The following is a PBE calculation of a relaxed SbOsPb2 crystal, from the Alexandria database.

a b c (Å): 7.992 7.992 7.992
angles (deg): 131.83 131.83 70.49
Fractional coordinates of all 8 atoms:
Sb1 0.000 0.000 0.000
Sb2 0.750 0.250 0.500
Os1 0.250 0.750 0.500
Os2 0.500 0.500 0.000
Pb1 0.174 0.625 0.049
Pb2 0.375 0.424 0.549
Pb3 0.576 0.125 0.951
Pb4 0.875 0.826 0.451

Summary:
Density of states at the Fermi level = 8.436 states/eV/cell
Crystal system = tetragonal
E_form (uncorrected) = 22.44 kcal/mol of atoms

The following is a PBE calculation of a relaxed ScMnRh crystal, from the Alexandria database.

a b c (Å): 4.355 4.355 2.983
angles (deg): 90.00 90.00 120.00
Fractional coordinates of all 3 atoms:
Sc1 0.000 0.000 0.000
Mn1 0.667 0.333 0.403
Rh1 0.333 0.667 0.662

Summary:
Density of states at the Fermi level = 2.457 states/eV/cell
Formation energy = -0.31 eV per atom
Crystal system = trigonal
Excess energy over the best structure of this formula in the dataset = 0.011 eV per atom

The following is a PBE calculation of a relaxed Na2TiS3 crystal, from the Alexandria database.

a b c (Å): 6.759 6.759 6.589
angles (deg): 98.25 98.25 66.24
Fractional coordinates of all 12 atoms:
Na1 0.006 0.318 0.174
Na2 0.318 0.006 0.674
Na3 0.682 0.994 0.326
Na4 0.994 0.682 0.826
Ti1 0.411 0.589 0.250
Ti2 0.589 0.411 0.750
S1 0.113 0.887 0.250
S2 0.326 0.383 0.483
S3 0.383 0.326 0.983
S4 0.617 0.674 0.017
S5 0.674 0.617 0.517
S6 0.887 0.113 0.750

Summary:
Crystal system = monoclinic
E_form (uncorrected) = -28.90 kcal/mol of atoms

The following is a PBE calculation of a relaxed PaCo2PN crystal, from the Alexandria database.

a b c (Å): 5.741 5.741 6.589
angles (deg): 90.00 90.00 144.65
Fractional coordinates of all 10 atoms:
Pa1 0.040 0.960 0.750
Pa2 0.960 0.040 0.250
Co1 0.326 0.674 0.555
Co2 0.326 0.674 0.945
Co3 0.674 0.326 0.055
Co4 0.674 0.326 0.445
P1 0.230 0.770 0.250
P2 0.770 0.230 0.750
N1 0.500 0.500 0.000
N2 0.500 0.500 0.500

Summary:
Density of states at the Fermi level = 9.447 states/eV/cell
Crystal system = orthorhombic
E_form (uncorrected) = -23.81 kcal/mol of atoms

The following is a PBE calculation of a relaxed ScNi2Te crystal, from the Alexandria database.

a b c (Å): 3.401 3.401 5.865
angles (deg): 90.00 90.00 90.00
Fractional coordinates of all 4 atoms:
Sc1 0.000 0.000 0.000
Ni1 0.000 0.000 0.564
Ni2 0.500 0.500 0.779
Te1 0.500 0.500 0.346

Summary:
Density of states at the Fermi level = 2.977 states/eV/cell
Crystal system = tetragonal
E_form (uncorrected) = -5.00 kcal/mol of atoms

The following is a PBE calculation of a relaxed ErThS crystal, from the Alexandria database.

a b c (Å): 3.809 3.809 6.482
angles (deg): 90.00 90.00 120.00
Fractional coordinates of all 3 atoms:
Er1 0.000 0.000 0.000
Th1 0.667 0.333 0.467
S1 0.333 0.667 0.753

Summary:
Density of states at the Fermi level = 3.610 states/eV/cell
Crystal system = trigonal
E_form (uncorrected) = -25.26 kcal/mol of atoms

The following is a PBE calculation of a relaxed Cd2FeHg crystal, from the Alexandria database.

a b c (Å): 4.766 4.766 4.766
angles (deg): 60.00 60.00 60.00
Fractional coordinates of all 4 atoms:
Cd1 0.000 0.000 0.000
Cd2 0.250 0.250 0.250
Fe1 0.750 0.750 0.750
Hg1 0.500 0.500 0.500

Summary:
Density of states at the Fermi level = 4.444 states/eV/cell
Formation energy = 0.38 eV per atom
Crystal system = cubic

The following is a PBE calculation of a relaxed NiPIr4 crystal, from the Alexandria database.

a b c (Å): 5.145 5.145 5.145
angles (deg): 60.00 60.00 60.00
Fractional coordinates of all 6 atoms:
Ni1 0.000 0.000 0.000
P1 0.750 0.750 0.750
Ir1 0.375 0.375 0.375
Ir2 0.375 0.375 0.875
Ir3 0.375 0.875 0.375
Ir4 0.875 0.375 0.375

Summary:
Density of states at the Fermi level = 11.721 states/eV/cell
Formation energy = 0.82 eV per atom
Crystal system = cubic

The following is a PBE calculation of a relaxed PrErAu crystal, from the Alexandria database.

a b c (Å): 5.058 5.058 5.058
angles (deg): 60.00 60.00 60.00
Fractional coordinates of all 3 atoms:
Pr1 0.000 0.000 0.000
Er1 0.500 0.500 0.500
Au1 0.750 0.750 0.750

Summary:
Density of states at the Fermi level = 4.120 states/eV/cell
Formation energy = -0.40 eV per atom
Crystal system = cubic
Excess energy over the best structure of this formula in the dataset = 0.201 eV per atom

Here are the calculated M_tot numbers, same order: 1.08, 0.00, 0.00, 0.00, 3.70, 0.00, 0.00, 0.00, 0.79, 2.48, 1.59, 0.00 (μB per cell).